[1]
VASP calculation (GGA-PBE) on crystalline K4Rb2InAs2 at its relaxed geometry.

abc: 5.523 9.160 9.160
angles: 61.74 72.48 72.48
Fractional coordinates of all 9 atoms:
K  0.140  0.657  0.065
K  0.860  0.935  0.343
K  0.860  0.343  0.935
K  0.140  0.065  0.657
Rb  0.358  0.641  0.641
Rb  0.642  0.359  0.359
In  0.500  0.000  0.000
As  0.309  0.191  0.191
As  0.691  0.809  0.809

Results
Calculated volume, Å³/f.u.: 382.2
ΔH_f (0 K), eV per atom: -0.191
Spin magnetization, μB/atom: 0.03
Crystal system: orthorhombic


[2]
VASP calculation (GGA-PBE) on crystalline K2In2As2S at its relaxed geometry.

abc: 3.939 6.825 8.318
angles: 71.39 89.99 73.20
Fractional coordinates of all 7 atoms:
K  0.496  0.008  0.714
K  0.504  0.992  0.286
In  0.789  0.422  0.870
In  0.211  0.578  0.130
As  0.783  0.435  0.426
As  0.217  0.565  0.574
S  0.000  0.000  0.000

Results
Calculated volume, Å³/f.u.: 201.8
Spin magnetization, μB/atom: 0.00
Formation energy (no corrections), meV per atom: -422
Crystal system: monoclinic


[3]
VASP calculation (GGA-PBE) on crystalline KSc2InAs at its relaxed geometry.

abc: 5.209 5.495 5.209
angles: 90.00 90.00 90.00
Site moments in Bohr magnetons follow the coordinates.
Fractional coordinates of all 5 atoms:
Sc  0.000  0.000  0.500  0.42
Sc  0.500  0.000  0.000  0.28
As  0.500  0.500  0.500  0.01
K  0.000  0.000  0.000  0.07
In  0.000  0.500  0.000  0.02

Results
Calculated volume, Å³/f.u.: 149.1
ΔH_f (0 K), eV per atom: 1.436
Spin magnetization, μB/atom: 0.25
Crystal system: tetragonal


[4]
VASP calculation (GGA-PBE) on crystalline KInAs2Se at its relaxed geometry.

abc: 5.833 5.833 5.872
angles: 90.00 90.00 90.00
Site moments in Bohr magnetons follow the coordinates.
Fractional coordinates of all 5 atoms:
As  0.000  0.500  0.000  0.50
As  0.500  0.000  0.000  0.50
K  0.000  0.000  0.000  0.04
Se  0.000  0.000  0.500  0.03
In  0.500  0.500  0.500  0.02

Results
Calculated volume, Å³/f.u.: 199.8
Spin magnetization, μB/atom: 0.46
Formation energy (no corrections), meV per atom: 1085
Crystal system: tetragonal
E above lowest polymorph, eV per atom: 0.888


[5]
VASP calculation (GGA-PBE) on crystalline K2InAsSe4 at its relaxed geometry.

abc: 8.518 8.518 8.540
angles: 120.08 120.08 90.11
Fractional coordinates of all 16 atoms:
K  0.500  0.000  0.000
K  0.500  0.000  0.500
K  0.000  0.000  0.500
K  0.500  0.500  0.000
In  0.000  0.500  0.000
In  0.000  0.500  0.500
As  0.500  0.500  0.500
As  0.000  0.000  0.000
Se  0.203  0.738  0.970
Se  0.762  0.297  0.530
Se  0.238  0.703  0.470
Se  0.797  0.262  0.030
Se  0.765  0.735  0.965
Se  0.765  0.735  0.535
Se  0.235  0.265  0.465
Se  0.235  0.265  0.035

Results
Calculated volume, Å³/f.u.: 218.3
Spin magnetization, μB/atom: 0.00
Formation energy (no corrections), meV per atom: -644
Crystal system: orthorhombic


[6]
VASP calculation (GGA-PBE) on crystalline KInAs2Se at its relaxed geometry.

abc: 5.331 5.331 5.569
angles: 90.00 90.00 90.00
Site moments in Bohr magnetons follow the coordinates.
Fractional coordinates of all 5 atoms:
As  0.000  0.500  0.000  0.28
As  0.500  0.000  0.000  0.28
K  0.500  0.500  0.500  0.01
Se  0.000  0.000  0.500  0.16
In  0.000  0.000  0.000  0.00

Results
Calculated volume, Å³/f.u.: 158.3
Spin magnetization, μB/atom: 0.29
Formation energy (no corrections), meV per atom: 197
Crystal system: tetragonal
E above lowest polymorph, eV per atom: 0.000


[7]
VASP calculation (GGA-PBE) on crystalline KInAsSe2 at its relaxed geometry.

abc: 6.257 6.257 6.465
angles: 90.00 90.00 90.00
Site moments in Bohr magnetons follow the coordinates.
Fractional coordinates of all 5 atoms:
As  0.000  0.000  0.500  1.10
K  0.000  0.000  0.000  0.03
Se  0.000  0.500  0.000  0.72
Se  0.500  0.000  0.000  0.72
In  0.500  0.500  0.500  0.00

Results
Calculated volume, Å³/f.u.: 253.1
Spin magnetization, μB/atom: 1.01
Formation energy (no corrections), meV per atom: 839
Crystal system: tetragonal
E above lowest polymorph, eV per atom: 0.882


[8]
VASP calculation (GGA-PBE) on crystalline KInAsSe2 at its relaxed geometry.

abc: 5.477 5.477 5.319
angles: 90.00 90.00 90.00
Site moments in Bohr magnetons follow the coordinates.
Fractional coordinates of all 5 atoms:
As  0.000  0.000  0.500  0.49
K  0.500  0.500  0.500  0.00
Se  0.000  0.500  0.000  0.07
Se  0.500  0.000  0.000  0.07
In  0.000  0.000  0.000  -0.01

Results
Calculated volume, Å³/f.u.: 159.6
Spin magnetization, μB/atom: 0.26
Formation energy (no corrections), meV per atom: -44
Crystal system: tetragonal
E above lowest polymorph, eV per atom: 0.000


[9]
VASP calculation (GGA-PBE) on crystalline K2SrInAs2 at its relaxed geometry.

abc: 5.235 7.822 9.161
angles: 90.00 90.00 90.00
Fractional coordinates of all 12 atoms:
K  0.500  0.017  0.087
K  0.000  0.335  0.150
K  0.500  0.517  0.913
K  0.000  0.835  0.850
Sr  0.000  0.003  0.467
Sr  0.000  0.503  0.533
In  0.500  0.163  0.686
In  0.500  0.663  0.314
As  0.000  0.239  0.790
As  0.500  0.289  0.385
As  0.000  0.739  0.210
As  0.500  0.789  0.615

Results
Calculated volume, Å³/f.u.: 187.6
ΔH_f (0 K), eV per atom: -0.581
Spin magnetization, μB/atom: 0.00
Crystal system: orthorhombic


[10]
VASP calculation (GGA-PBE) on crystalline KSrInAs2 at its relaxed geometry.

abc: 4.506 9.865 8.667
angles: 63.75 74.93 76.80
Fractional coordinates of all 10 atoms:
K  0.401  0.431  0.766
K  0.599  0.569  0.234
Sr  0.730  0.844  0.696
Sr  0.270  0.156  0.304
In  0.057  0.107  0.779
In  0.943  0.893  0.221
As  0.379  0.801  0.442
As  0.621  0.199  0.558
As  0.879  0.207  0.036
As  0.121  0.793  0.964

Results
Calculated volume, Å³/f.u.: 165.4
ΔH_f (0 K), eV per atom: -0.673
Spin magnetization, μB/atom: 0.00
Crystal system: monoclinic


[11]
VASP calculation (GGA-PBE) on crystalline KInTc2As at its relaxed geometry.

abc: 4.878 5.403 4.878
angles: 90.00 90.00 90.00
Site moments in Bohr magnetons follow the coordinates.
Fractional coordinates of all 5 atoms:
K  0.000  0.000  0.000  0.03
As  0.000  0.500  0.000  -0.03
Tc  0.000  0.000  0.500  2.38
Tc  0.500  0.000  0.000  2.87
In  0.500  0.500  0.500  -0.02

Results
Calculated volume, Å³/f.u.: 128.6
ΔH_f (0 K), eV per atom: 2.477
Spin magnetization, μB/atom: 1.17
Crystal system: tetragonal


[12]
VASP calculation (GGA-PBE) on crystalline KInTe3As at its relaxed geometry.

abc: 4.332 9.512 11.556
angles: 102.93 90.00 90.00
Fractional coordinates of all 12 atoms:
K  0.250  0.171  0.199
K  0.750  0.829  0.801
In  0.250  0.099  0.622
In  0.750  0.901  0.378
Te  0.750  0.860  0.135
Te  0.250  0.140  0.865
Te  0.250  0.790  0.494
Te  0.750  0.210  0.506
Te  0.750  0.440  0.131
Te  0.250  0.560  0.869
As  0.250  0.625  0.140
As  0.750  0.375  0.860

Results
Calculated volume, Å³/f.u.: 232.1
Spin magnetization, μB/atom: 0.00
Formation energy (no corrections), meV per atom: -322
Crystal system: monoclinic


Q: Which value of calculated volume does entry 11 give?
A: 128.6 Å³/f.u.